(1)
RbAcReN3, optimized geometry, DFT PBE-GGA; space-group type = No. 12; ΔE_f (raw) = -8.363 kcal/mol of atoms; D(E_F) = 0.2 states/eV per cell
1.0
-0.665 -1.426 3.538
4.328 -5.018 -3.327
5.481 6.108 3.491
Rb Ac Re N
2 2 2 6
Direct
0.360 0.720 0.940
0.640 0.280 0.060
0.656 0.313 0.586
0.344 0.687 0.414
0.008 0.017 0.294
0.992 0.983 0.706
0.871 0.742 0.219
0.848 0.696 0.625
0.511 0.023 0.330
0.152 0.304 0.375
0.489 0.977 0.670
0.129 0.258 0.781

***

(2)
ZnCd2Ge, optimized geometry, DFT PBE-GGA; E_form = 0.18 eV/atom; space-group type = No. 160; E above lowest polymorph = 10.8 kJ/mol of formula units; D(E_F) = 1.4 states/eV per cell
1.0
4.529 0.000 0.000
2.265 3.923 0.000
2.265 1.308 4.936
Zn Cd Ge
1 2 1
Direct
0.673 0.673 0.982
0.069 0.069 0.792
0.269 0.269 0.194
0.489 0.489 0.532

***

(3)
Rb2RhI6Br, optimized geometry, DFT PBE-GGA; space-group type = No. 139; ΔE_f (raw) = -13.743 kcal/mol of atoms; D(E_F) = 20.6 states/eV per cell
1.0
8.719 0.000 0.000
0.000 8.719 0.000
4.359 4.359 5.650
I Rh Br Rb
6 1 1 2
Direct
0.246 0.246 0.509
0.754 0.754 0.491
0.217 0.217 0.000
0.783 0.783 0.000
0.783 0.217 0.000
0.217 0.783 0.000
0.000 0.000 0.000
0.500 0.500 0.000
0.750 0.250 0.500
0.250 0.750 0.500

***

(4)
Sc4CrRu, optimized geometry, DFT PBE-GGA; E_form = 0.62 eV/atom; space-group type = No. 216; D(E_F) = 8.8 states/eV per cell
1.0
0.000 3.921 3.921
3.921 0.000 3.921
3.921 3.921 0.000
Sc Cr Ru
4 1 1
Direct
0.879 0.374 0.374
0.374 0.374 0.879
0.374 0.879 0.374
0.374 0.374 0.374
0.750 0.750 0.750
0.000 0.000 0.000

***

(5)
PuHg2Au, optimized geometry, DFT PBE-GGA; E_form = -0.12 eV/atom; space-group type = No. 123; E above lowest polymorph = 33.7 kJ/mol of formula units; D(E_F) = 9.5 states/eV per cell
1.0
3.583 0.000 0.000
0.000 3.583 0.000
0.000 0.000 7.287
Au Hg Pu
1 2 1
Direct
0.500 0.500 0.000
0.000 0.000 0.777
0.000 0.000 0.223
0.500 0.500 0.500

***

(6)
Zr2Si4Br, optimized geometry, DFT PBE-GGA; space-group type = No. 139; ΔE_f (raw) = 18.021 kcal/mol of atoms; D(E_F) = 4.5 states/eV per cell
1.0
4.829 0.000 0.000
0.000 4.829 0.000
2.414 2.414 6.815
Si Br Zr
4 1 2
Direct
0.810 0.810 0.380
0.190 0.190 0.620
0.000 0.500 0.000
0.500 0.000 0.000
0.000 0.000 0.000
0.617 0.617 0.767
0.383 0.383 0.233

***

(7)
CaLa2RhO5, optimized geometry, DFT PBE-GGA; space-group type = No. 127; ΔE_f (raw) = -57.620 kcal/mol of atoms; D(E_F) = 13.1 states/eV per cell
1.0
-0.900 4.521 3.555
1.544 -3.940 5.401
6.601 1.778 -0.590
Ca La Rh O
2 4 2 10
Direct
0.000 0.500 0.500
0.000 0.000 0.000
0.500 0.674 0.174
0.500 0.174 0.326
0.500 0.826 0.674
0.500 0.326 0.826
0.000 0.000 0.500
0.000 0.500 0.000
0.500 0.500 0.500
0.500 0.000 0.000
0.240 0.146 0.646
0.240 0.854 0.354
0.240 0.354 0.146
0.240 0.646 0.854
0.760 0.146 0.646
0.760 0.646 0.854
0.760 0.854 0.354
0.760 0.354 0.146

***

(8)
Mn2CrTc, optimized geometry, DFT PBE-GGA; E_form = 0.09 eV/atom; space-group type = No. 47; E above lowest polymorph = 2.3 kJ/mol of formula units; D(E_F) = 4.8 states/eV per cell
1.0
3.000 0.000 0.000
0.000 4.098 0.000
0.000 0.000 4.056
Cr Mn Tc
1 2 1
Direct
0.000 0.500 0.500
0.000 0.000 0.000
0.500 0.500 0.000
0.500 0.000 0.500

***

(9)
LaPb2W, optimized geometry, DFT PBE-GGA; E_form = 0.51 eV/atom; space-group type = No. 44; E above lowest polymorph = 50.7 kJ/mol of formula units; D(E_F) = 5.6 states/eV per cell
1.0
7.240 -0.010 0.007
6.399 3.388 0.007
1.551 0.384 4.471
La Pb W
1 2 1
Direct
0.813 0.813 0.687
0.995 0.995 0.005
0.183 0.183 0.316
0.508 0.508 0.492

***

(10)
CsNa12Tl6, optimized geometry, DFT PBE-GGA; E_form = -0.02 eV/atom; space-group type = No. 166; D(E_F) = 10.1 states/eV per cell
1.0
9.163 -0.027 -0.038
-2.298 8.870 -0.038
-2.298 -2.960 8.362
Cs Na Tl
1 12 6
Direct
0.000 0.000 0.000
0.885 0.115 0.500
0.867 0.592 0.592
0.592 0.592 0.867
0.408 0.133 0.408
0.408 0.408 0.133
0.133 0.408 0.408
0.115 0.500 0.885
0.500 0.885 0.115
0.115 0.885 0.500
0.885 0.500 0.115
0.500 0.115 0.885
0.592 0.867 0.592
0.699 0.281 0.281
0.281 0.281 0.699
0.281 0.699 0.281
0.719 0.719 0.301
0.301 0.719 0.719
0.719 0.301 0.719

***

(11)
V2Pd2RhSe6, optimized geometry, DFT PBE-GGA; space-group type = No. 12; ΔE_f (raw) = -8.841 kcal/mol of atoms; D(E_F) = 6.5 states/eV per cell
1.0
-2.392 0.979 -5.530
0.756 -5.513 2.509
-5.778 1.624 3.575
V Pd Rh Se
2 2 1 6
Direct
0.375 0.625 0.500
0.625 0.375 0.500
0.811 0.189 0.000
0.189 0.811 0.000
0.000 0.000 0.500
0.746 0.746 0.762
0.029 0.398 0.705
0.254 0.254 0.238
0.398 0.029 0.705
0.971 0.602 0.295
0.602 0.971 0.295

***

(12)
YSnO3, optimized geometry, DFT PBE-GGA; space-group type = No. 194; ΔE_f (raw) = -54.640 kcal/mol of atoms; D(E_F) = 3.8 states/eV per cell
1.0
1.854 -3.211 0.000
1.854 3.211 0.000
0.000 0.000 12.732
Y Sn O
2 2 6
Direct
0.000 0.000 0.500
0.000 0.000 0.000
0.667 0.333 0.750
0.333 0.667 0.250
0.333 0.667 0.423
0.667 0.333 0.923
0.667 0.333 0.577
0.333 0.667 0.077
0.000 0.000 0.250
0.000 0.000 0.750

***

(13)
Li4La3Ga4, optimized geometry, DFT PBE-GGA; E_form = -0.36 eV/atom; space-group type = No. 2; E above lowest polymorph = 6.2 kJ/mol of formula units; D(E_F) = 7.6 states/eV per cell
1.0
-1.427 -3.030 -1.138
4.372 -1.925 -0.359
0.509 -7.254 13.165
Li La Ga
4 3 4
Direct
0.593 0.094 0.814
0.256 0.256 0.488
0.744 0.744 0.512
0.407 0.906 0.186
0.142 0.644 0.714
0.858 0.356 0.286
0.000 0.000 0.000
0.547 0.548 0.905
0.453 0.452 0.095
0.315 0.814 0.370
0.685 0.186 0.630

***

(14)
Tl6AgHg3, optimized geometry, DFT PBE-GGA; E_form = 0.03 eV/atom; space-group type = No. 11; D(E_F) = 8.2 states/eV per cell
1.0
3.437 0.000 0.000
0.000 11.762 -0.939
0.000 -4.835 14.624
Tl Ag Hg
12 2 6
Direct
0.750 0.521 0.711
0.250 0.479 0.289
0.750 0.898 0.099
0.250 0.102 0.901
0.750 0.419 0.076
0.250 0.581 0.924
0.750 0.757 0.343
0.250 0.243 0.657
0.750 0.091 0.449
0.250 0.909 0.551
0.750 0.802 0.713
0.250 0.198 0.287
0.750 0.065 0.724
0.250 0.935 0.276
0.750 0.327 0.858
0.250 0.673 0.142
0.750 0.617 0.497
0.250 0.383 0.503
0.750 0.167 0.097
0.250 0.833 0.903

***

(15)
MgGa2Cl4, optimized geometry, DFT PBE-GGA; space-group type = No. 139; ΔE_f (raw) = -26.150 kcal/mol of atoms; D(E_F) = 0.0 states/eV per cell
1.0
-1.839 -3.224 3.308
4.433 -0.230 2.240
-0.656 3.952 7.223
Mg Ga Cl
1 2 4
Direct
0.000 0.000 0.000
0.645 0.645 0.710
0.355 0.355 0.290
0.832 0.832 0.337
0.168 0.168 0.663
0.000 0.500 0.000
0.500 0.000 0.000

***

(16)
Nd3DyTh2Bi6, optimized geometry, DFT PBE-GGA; E_form = -0.82 eV/atom; space-group type = No. 12; D(E_F) = 5.1 states/eV per cell
1.0
4.590 0.000 0.000
0.000 9.161 0.315
-2.295 -2.651 9.640
Nd Dy Th Bi
3 1 2 6
Direct
0.500 0.500 0.000
0.833 0.166 0.666
0.167 0.834 0.334
0.500 0.000 0.000
0.835 0.669 0.670
0.165 0.331 0.330
0.336 0.918 0.672
0.667 0.583 0.335
0.664 0.082 0.328
0.999 0.244 0.999
0.001 0.756 0.001
0.333 0.417 0.665

***

(17)
YBeTl, optimized geometry, DFT PBE-GGA; E_form = 0.07 eV/atom; space-group type = No. 63; E above lowest polymorph = 54.0 kJ/mol of formula units; D(E_F) = 3.1 states/eV per cell
1.0
8.278 0.000 0.000
0.000 6.261 0.000
0.000 0.000 4.910
Y Be Tl
4 4 4
Direct
0.337 0.250 0.000
0.163 0.750 0.500
0.663 0.750 0.000
0.837 0.250 0.500
0.674 0.250 0.000
0.826 0.750 0.500
0.326 0.750 0.000
0.174 0.250 0.500
0.000 0.000 0.000
0.500 0.500 0.500
0.500 0.000 0.500
0.000 0.500 0.000

***

(18)
TmMg2Ti, optimized geometry, DFT PBE-GGA; E_form = 0.16 eV/atom; space-group type = No. 225; E above lowest polymorph = 10.7 kJ/mol of formula units; D(E_F) = 4.0 states/eV per cell
1.0
-2.587 1.465 -4.057
-4.853 1.250 0.428
-1.412 4.803 -0.483
Mg Tm Ti
2 1 1
Direct
0.250 0.250 0.250
0.750 0.750 0.750
0.500 0.500 0.500
0.000 0.000 0.000

***

(19)
LaPtRh3, optimized geometry, DFT PBE-GGA; E_form = 1.30 eV/atom; space-group type = No. 221; E above lowest polymorph = 425.1 kJ/mol of formula units; D(E_F) = 9.9 states/eV per cell
1.0
-0.309 1.328 4.602
-4.753 0.486 -0.459
-0.593 -4.587 1.284
Rh Pt La
3 1 1
Direct
0.000 0.500 0.000
0.000 0.000 0.500
0.500 0.000 0.000
0.500 0.500 0.500
0.000 0.000 0.000

***

(20)
PaPdPt, optimized geometry, DFT PBE-GGA; E_form = -0.56 eV/atom; space-group type = No. 44; E above lowest polymorph = 45.7 kJ/mol of formula units; D(E_F) = 4.4 states/eV per cell
1.0
4.741 0.000 0.000
2.370 3.802 -0.156
2.370 0.653 3.748
Pa Pd Pt
1 1 1
Direct
0.230 0.270 0.270
0.760 0.740 0.740
0.009 0.991 0.991

***

(21)
ThScAu, optimized geometry, DFT PBE-GGA; E_form = -0.33 eV/atom; space-group type = No. 156; E above lowest polymorph = 44.4 kJ/mol of formula units; D(E_F) = 3.9 states/eV per cell
1.0
3.862 0.000 0.000
0.000 4.788 0.000
0.000 -2.394 4.147
Sc Au Th
1 1 1
Direct
0.168 0.333 0.667
0.165 0.000 0.000
0.667 0.667 0.333

***

(22)
Hf5B2Sb, optimized geometry, DFT PBE-GGA; space-group type = No. 140; ΔE_f (raw) = -10.495 kcal/mol of atoms; D(E_F) = 13.8 states/eV per cell
1.0
6.103 0.000 -2.881
-1.360 5.950 -2.881
-0.035 -0.044 7.831
Hf B Sb
10 4 2
Direct
0.530 0.714 0.744
0.786 0.970 0.256
0.000 0.000 0.000
0.500 0.500 0.000
0.214 0.030 0.744
0.714 0.214 0.744
0.030 0.530 0.744
0.286 0.786 0.256
0.970 0.470 0.256
0.470 0.286 0.256
0.152 0.348 0.000
0.652 0.152 0.000
0.348 0.848 0.000
0.848 0.652 0.000
0.750 0.750 0.500
0.250 0.250 0.500

***

(23)
Tb2NpTcN5, optimized geometry, DFT PBE-GGA; space-group type = No. 36; ΔE_f (raw) = -23.533 kcal/mol of atoms; D(E_F) = 14.4 states/eV per cell
1.0
-1.695 2.844 -0.865
-3.270 -2.252 5.770
6.347 5.532 5.756
Tb Np Tc N
4 2 2 10
Direct
0.866 0.732 0.805
0.105 0.211 0.685
0.134 0.268 0.305
0.895 0.789 0.185
0.790 0.580 0.511
0.210 0.420 0.011
0.527 0.053 0.961
0.473 0.947 0.461
0.370 0.740 0.999
0.682 0.363 0.880
0.491 0.983 0.779
0.282 0.563 0.652
0.955 0.910 0.551
0.630 0.260 0.499
0.318 0.637 0.380
0.509 0.017 0.279
0.718 0.437 0.152
0.045 0.090 0.051